(1)
Density functional theory data (PBE) for a relaxed PrBi3Au crystal.

## Properties
- Crystal system: orthorhombic
- Fermi-level density of states: 2.41 states/eV/f.u.
- DFT total energy: -86.62 eV/cell
- Space-group type: Pbcm (57)

Geometry as POSCAR:
```
PrBi3Au
1.0
13.370 0.000 0.000
0.000 6.601 0.000
0.000 0.000 6.647
Pr Bi Au
4 12 4
Direct
0.192 0.015 0.250
0.192 0.485 0.750
0.808 0.515 0.250
0.808 0.985 0.750
0.000 0.250 0.000
0.000 0.250 0.500
0.000 0.750 0.000
0.000 0.750 0.500
0.246 0.518 0.250
0.246 0.982 0.750
0.447 0.646 0.750
0.447 0.854 0.250
0.553 0.146 0.750
0.553 0.354 0.250
0.754 0.018 0.250
0.754 0.482 0.750
0.377 0.250 0.000
0.377 0.250 0.500
0.623 0.750 0.000
0.623 0.750 0.500
```

***

(2)
Density functional theory data (PBE) for a relaxed PrBiAu crystal.

## Properties
- Crystal system: trigonal
- Fermi-level density of states: 1.61 states/eV/f.u.
- DFT total energy: -13.99 eV/cell
- Space-group type: P3m1 (156)

Geometry as POSCAR:
```
PrBiAu
1.0
4.728 0.000 0.000
-2.364 4.095 0.000
0.000 0.000 4.429
Pr Bi Au
1 1 1
Direct
0.000 0.000 0.000
0.667 0.333 0.457
0.333 0.667 0.663
```

***

(3)
Density functional theory data (PBE) for a relaxed PrBi2Au6 crystal.

## Properties
- Crystal system: monoclinic
- Fermi-level density of states: 3.63 states/eV/f.u.
- DFT total energy: -34.44 eV/cell
- Space-group type: C2/m (12)

Geometry as POSCAR:
```
PrBi2Au6
1.0
7.353 -3.998 0.000
7.353 3.998 0.000
-0.938 0.000 3.650
Pr Bi Au
1 2 6
Direct
0.000 0.000 0.000
0.357 0.357 0.859
0.643 0.643 0.141
0.000 0.352 0.673
0.000 0.648 0.327
0.313 0.687 0.500
0.352 0.000 0.673
0.648 0.000 0.327
0.687 0.313 0.500
```

***

(4)
Density functional theory data (PBE) for a relaxed Pr5BiAu2 crystal.

## Properties
- Crystal system: tetragonal
- Fermi-level density of states: 8.35 states/eV/f.u.
- DFT total energy: -78.80 eV/cell
- Space-group type: I4/mcm (140)

Geometry as POSCAR:
```
Pr5BiAu2
1.0
-4.248 4.248 6.810
4.248 -4.248 6.810
4.248 4.248 -6.810
Pr Bi Au
10 2 4
Direct
0.000 0.000 0.000
0.011 0.511 0.808
0.204 0.011 0.500
0.296 0.796 0.808
0.489 0.296 0.500
0.500 0.500 0.000
0.511 0.704 0.500
0.704 0.204 0.192
0.796 0.989 0.500
0.989 0.489 0.192
0.250 0.250 0.000
0.750 0.750 0.000
0.137 0.363 0.500
0.363 0.863 0.226
0.637 0.137 0.774
0.863 0.637 0.500
```

***

| no. | calculated volume (Å³/f.u.) | size of the total moment (μB/f.u.) |
| --- | --- | --- |
| 1 | 147 | 0.0 |
| 2 | 86 | 0.0 |
| 3 | 215 | 0.0 |
| 4 | 246 | 0.0 |